ReAg2F | GGA-PBE | optimized geometry

a = 7.1037 Å, b = 7.1037 Å, c = 5.7156 Å
α = 51.58°, β = 51.58°, γ = 90.00°
Last column: magnetic moment on the atom in μB.
Fractional coordinates of all 8 atoms:
Re 0.0000 0.0000 0.0000  3.13
Re 0.7500 0.2500 0.5000  3.12
Ag 0.5877 0.1250 0.2500  0.10
Ag 0.1623 0.6250 0.2500  0.10
Ag 0.3750 0.4123 0.7500  0.11
Ag 0.8750 0.8377 0.7500  0.10
F 0.5000 0.5000 0.0000  0.09
F 0.2500 0.7500 0.5000  0.09

Formation energy without anion corrections, eV per atom: 0.6809
Energy above the most stable polymorph in this dataset, eV/atom: 0.0000
Space group: I-42d, No. 122
Total energy, eV per atom: -4.32